[1]
# SiAgF3 GGA-PBE relaxed
data_SiAgF3
_cell_length_a 4.381
_cell_length_b 4.381
_cell_length_c 4.381
_cell_angle_alpha 90.00
_cell_angle_beta 90.00
_cell_angle_gamma 90.00
_symmetry_space_group_name_H-M 'P m -3 m'
_symmetry_Int_Tables_number 221
_symmetry_space_group_name_Hall '-P 4 2 3'
loop_
_atom_site_label
_atom_site_type_symbol
_atom_site_fract_x
_atom_site_fract_y
_atom_site_fract_z
Si1 Si 0.000 0.000 0.000
Ag1 Ag 0.500 0.500 0.500
F1 F 0.000 0.500 0.500
# N(E_F) = 4.43 states/eV per cell
# Energy above the lowest structure with this stoichiometry = 765.7 meV/atom

[2]
# AcThSe4 GGA-PBE relaxed
data_AcThSe4
_cell_length_a 6.513
_cell_length_b 7.102
_cell_length_c 7.874
_cell_angle_alpha 90.00
_cell_angle_beta 90.00
_cell_angle_gamma 90.00
_symmetry_space_group_name_H-M 'P b a m'
_symmetry_Int_Tables_number 55
loop_
_symmetry_equiv_pos_as_xyz
'x,y,z'
'-x,-y,-z'
'-x,-y,z'
'x,y,-z'
'x+1/2,-y+1/2,-z'
'-x+1/2,y+1/2,z'
'-x+1/2,y+1/2,-z'
'x+1/2,-y+1/2,z'
loop_
_atom_site_label
_atom_site_type_symbol
_atom_site_fract_x
_atom_site_fract_y
_atom_site_fract_z
Ac1 Ac 0.000 0.000 0.000
Th1 Th 0.000 0.000 0.500
Se1 Se 0.249 0.250 0.266
# N(E_F) = 5.33 states/eV per cell
# Energy above the lowest structure with this stoichiometry = 129.0 meV/atom

[3]
# Pm2Sm6Zn GGA-PBE relaxed
data_Pm2Sm6Zn
_cell_length_a 9.983
_cell_length_b 10.396
_cell_length_c 5.513
_cell_angle_alpha 90.00
_cell_angle_beta 90.00
_cell_angle_gamma 90.00
_symmetry_space_group_name_H-M 'P n n m'
_symmetry_Int_Tables_number 58
loop_
_symmetry_equiv_pos_as_xyz
'x,y,z'
'-x,-y,-z'
'-x,-y,z'
'x,y,-z'
'x+1/2,-y+1/2,-z+1/2'
'-x+1/2,y+1/2,z+1/2'
'-x+1/2,y+1/2,-z+1/2'
'x+1/2,-y+1/2,z+1/2'
loop_
_atom_site_label
_atom_site_type_symbol
_atom_site_fract_x
_atom_site_fract_y
_atom_site_fract_z
Pm1 Pm 0.190 0.246 0.000
Sm1 Sm 0.017 0.308 0.500
Sm2 Sm 0.134 0.896 0.000
Sm3 Sm 0.191 0.570 0.000
Zn1 Zn 0.000 0.000 0.500
# N(E_F) = 24.28 states/eV per cell
# Calculated formation energy = 0.02 eV/atom

[4]
# Ac16Os5Pd3 GGA-PBE relaxed
data_Ac16Os5Pd3
_cell_length_a 15.094
_cell_length_b 8.727
_cell_length_c 14.029
_cell_angle_alpha 90.00
_cell_angle_beta 90.25
_cell_angle_gamma 90.00
_symmetry_space_group_name_H-M 'C 1 m 1'
_symmetry_Int_Tables_number 8
loop_
_symmetry_equiv_pos_as_xyz
'x,y,z'
'x,-y,z'
'x+1/2,y+1/2,z'
'x+1/2,-y+1/2,z'
loop_
_atom_site_label
_atom_site_type_symbol
_atom_site_fract_x
_atom_site_fract_y
_atom_site_fract_z
Ac1 Ac 0.000 0.000 0.000
Ac2 Ac 0.002 0.000 0.498
Ac3 Ac 0.019 0.500 0.480
Ac4 Ac 0.084 0.253 0.233
Ac5 Ac 0.173 0.000 0.740
Ac6 Ac 0.182 0.500 0.727
Ac7 Ac 0.253 0.274 0.481
Ac8 Ac 0.266 0.234 0.984
Ac9 Ac 0.338 0.500 0.226
Ac10 Ac 0.347 0.000 0.225
Ac11 Ac 0.418 0.251 0.732
Ac12 Ac 0.492 0.000 0.987
Os1 Os 0.167 0.500 0.348
Os2 Os 0.336 0.000 0.843
Os3 Os 0.342 0.500 0.611
Os4 Os 0.423 0.250 0.112
Pd1 Pd 0.091 0.249 0.614
Pd2 Pd 0.173 0.000 0.113
# N(E_F) = 28.31 states/eV per cell
# Calculated formation energy = -0.23 eV/atom

[5]
# Zr2BiI GGA-PBE relaxed
data_Zr2BiI
_cell_length_a 7.270
_cell_length_b 7.270
_cell_length_c 7.270
_cell_angle_alpha 90.00
_cell_angle_beta 90.00
_cell_angle_gamma 90.00
_symmetry_space_group_name_H-M 'F m -3 m'
_symmetry_Int_Tables_number 225
_symmetry_space_group_name_Hall '-F 4 2 3'
loop_
_atom_site_label
_atom_site_type_symbol
_atom_site_fract_x
_atom_site_fract_y
_atom_site_fract_z
Zr1 Zr 0.250 0.250 0.250
Bi1 Bi 0.000 0.000 0.000
I1 I 0.000 0.000 0.500
# N(E_F) = 1.02 states/eV per cell
# Energy above the lowest structure with this stoichiometry = 0.0 meV/atom

[6]
# BaTl3Ge GGA-PBE relaxed
data_BaTl3Ge
_cell_length_a 6.310
_cell_length_b 6.310
_cell_length_c 6.310
_cell_angle_alpha 90.00
_cell_angle_beta 90.00
_cell_angle_gamma 90.00
_symmetry_space_group_name_H-M 'P m -3 m'
_symmetry_Int_Tables_number 221
_symmetry_space_group_name_Hall '-P 4 2 3'
loop_
_atom_site_label
_atom_site_type_symbol
_atom_site_fract_x
_atom_site_fract_y
_atom_site_fract_z
Ba1 Ba 0.000 0.000 0.000
Tl1 Tl 0.000 0.000 0.500
Ge1 Ge 0.500 0.500 0.500
# N(E_F) = 3.15 states/eV per cell
# Calculated formation energy = 0.92 eV/atom
# Energy above the lowest structure with this stoichiometry = 1114.0 meV/atom

[7]
# YAlGa2Cu GGA-PBE relaxed
data_YAlGa2Cu
_cell_length_a 4.061
_cell_length_b 4.061
_cell_length_c 10.912
_cell_angle_alpha 90.00
_cell_angle_beta 90.00
_cell_angle_gamma 90.00
_symmetry_space_group_name_H-M 'I -4 m 2'
_symmetry_Int_Tables_number 119
_symmetry_space_group_name_Hall 'I -4 -2'
loop_
_atom_site_label
_atom_site_type_symbol
_atom_site_fract_x
_atom_site_fract_y
_atom_site_fract_z
Y1 Y 0.000 0.000 0.000
Al1 Al 0.000 0.500 0.250
Ga1 Ga 0.000 0.000 0.388
Cu1 Cu 0.000 0.500 0.750
# N(E_F) = 2.20 states/eV per cell
# Calculated formation energy = -0.49 eV/atom

[8]
# ZnCdSiIr GGA-PBE relaxed
data_ZnCdSiIr
_cell_length_a 8.355
_cell_length_b 3.103
_cell_length_c 6.363
_cell_angle_alpha 90.00
_cell_angle_beta 126.58
_cell_angle_gamma 90.00
_symmetry_space_group_name_H-M 'C 1 m 1'
_symmetry_Int_Tables_number 8
loop_
_symmetry_equiv_pos_as_xyz
'x,y,z'
'x,-y,z'
'x+1/2,y+1/2,z'
'x+1/2,-y+1/2,z'
loop_
_atom_site_label
_atom_site_type_symbol
_atom_site_fract_x
_atom_site_fract_y
_atom_site_fract_z
Zn1 Zn 0.000 0.000 0.000
Cd1 Cd 0.333 0.500 0.251
Si1 Si 0.113 0.500 0.699
Ir1 Ir 0.267 0.000 0.575
# N(E_F) = 3.33 states/eV per cell
# Energy above the lowest structure with this stoichiometry = 120.9 meV/atom